Na2NpMn2O6 | PBE+U | relaxed

Unit cell a=5.5708 b=5.5708 c=5.9672 alpha=100.22 beta=100.22 gamma=118.56
Each line ends with the local moment (μB).
Positions (direct):
Mn: 0.6638 0.3362 0.5000  4.57
O: 0.2384 0.2384 0.3020  -0.01
O: 0.7616 0.7616 0.6980  -0.01
Np: 0.0000 0.0000 0.5000  1.47
O: 0.9410 0.6154 0.2965  0.00
O: 0.6154 0.9410 0.2965  0.00
O: 0.0590 0.3846 0.7035  0.00
Na: 0.1785 0.8215 0.0000  0.00
Na: 0.8215 0.1785 0.0000  0.00
O: 0.3846 0.0590 0.7035  0.00
Mn: 0.3362 0.6638 0.5000  4.57

Values from the calculation:
**Total energy**: -7.596 eV/atom